1.
# LaBeIn2

A relaxed structure of LaBeIn2 (GGA-PBE, the Alexandria database).

Computed properties:
energy relative to the elements	0.199	eV per atom
total magnetic moment	0.6	μB/cell
SG	R-3m, No. 166

a = 10.009 Å, b = 10.009 Å, c = 10.009 Å
α = 19.33°, β = 19.33°, γ = 19.33°
Element x y z (fractional)
La 0.000 0.000 0.000
Be 0.500 0.500 0.500
In 0.233 0.233 0.233
In 0.767 0.767 0.767



2.
# Zn2HgGe

A relaxed structure of Zn2HgGe (GGA-PBE, the Alexandria database).

Computed properties:
energy relative to the elements	0.189	eV per atom
energy above the lowest structure with this stoichiometry	0.003	eV/atom
total magnetic moment	0.0	μB/cell
SG	P4/mmm, No. 123

a = 3.085 Å, b = 3.085 Å, c = 7.890 Å
α = 90.00°, β = 90.00°, γ = 90.00°
Element x y z (fractional)
Zn 0.000 0.000 0.229
Zn 0.000 0.000 0.771
Hg 0.500 0.500 0.500
Ge 0.500 0.500 0.000



3.
# Ac2PmPtO8

A relaxed structure of Ac2PmPtO8 (GGA-PBE, the Alexandria database).

Computed properties:
total magnetic moment	3.1	μB/cell
uncorrected formation energy	-1.868	eV/atom
SG	P-3m1, No. 164

a = 5.625 Å, b = 5.625 Å, c = 6.472 Å
α = 90.00°, β = 90.00°, γ = 120.00°
Element x y z (fractional)
Ac 0.333 0.667 0.360
Ac 0.667 0.333 0.640
Pm 0.000 0.000 0.000
Pt 0.000 0.000 0.500
O 0.161 0.323 0.689
O 0.161 0.839 0.689
O 0.323 0.161 0.311
O 0.333 0.667 0.025
O 0.667 0.333 0.975
O 0.677 0.839 0.689
O 0.839 0.161 0.311
O 0.839 0.677 0.311



4.
# InTeHN2

A relaxed structure of InTeHN2 (GGA-PBE, the Alexandria database).

Computed properties:
energy above the lowest structure with this stoichiometry	0.000	eV/atom
total magnetic moment	1.0	μB/cell
SG	P4/mmm, No. 123

a = 4.387 Å, b = 4.387 Å, c = 3.451 Å
α = 90.00°, β = 90.00°, γ = 90.00°
Element x y z (fractional)
In 0.000 0.000 0.000
Te 0.500 0.500 0.000
H 0.500 0.500 0.500
N 0.000 0.500 0.500
N 0.500 0.000 0.500



5.
# Sc2BeCoSe

A relaxed structure of Sc2BeCoSe (GGA-PBE, the Alexandria database).

Computed properties:
total magnetic moment	0.7	μB/cell
uncorrected formation energy	0.346	eV/atom
SG	P4/mmm, No. 123

a = 4.814 Å, b = 4.814 Å, c = 3.984 Å
α = 90.00°, β = 90.00°, γ = 90.00°
Element x y z (fractional)
Sc 0.000 0.500 0.000
Sc 0.500 0.000 0.000
Be 0.000 0.000 0.000
Co 0.500 0.500 0.500
Se 0.000 0.000 0.500



6.
# Ce2RhCl

A relaxed structure of Ce2RhCl (GGA-PBE, the Alexandria database).

Computed properties:
energy above the lowest structure with this stoichiometry	0.000	eV/atom
total magnetic moment	2.0	μB/cell
uncorrected formation energy	-1.081	eV/atom
SG	R-3m, No. 166

a = 7.735 Å, b = 7.735 Å, c = 7.735 Å
α = 30.16°, β = 30.16°, γ = 30.16°
Element x y z (fractional)
Ce 0.238 0.238 0.238
Ce 0.762 0.762 0.762
Rh 0.500 0.500 0.500
Cl 0.000 0.000 0.000